Here is NaCd11Pd after structural relaxation from the Alexandria database. Energies are from PBE.

## Properties
- Density of states at the Fermi level: 4.954 states/eV per cell
- Total moment: 0.00 μB per atom
- Formation energy: -0.088 eV per atom
- Density: 7.7 g cm⁻³
- Energy: -1.36 eV per atom

Cell lengths 5.912, 7.643, 7.707 Å; angles 81.10, 67.45, 66.20 degrees
Positions (direct):
Na 0.000 0.000 0.000
Cd 0.300 0.218 0.211
Cd 0.700 0.782 0.789
Cd 0.489 0.782 0.211
Cd 0.511 0.218 0.789
Cd 0.363 0.645 0.661
Cd 0.637 0.355 0.339
Cd 0.976 0.355 0.661
Cd 0.024 0.645 0.339
Cd 0.000 0.500 0.000
Cd 0.500 0.000 0.500
Cd 0.000 0.000 0.500
Pd 0.500 0.500 0.000

***

Here is AcGaBRh6 after structural relaxation from the Alexandria database. Energies are from PBE.

## Properties
- Density of states at the Fermi level: 22.425 states/eV per cell
- Total moment: 0.00 μB per atom
- Formation energy: -0.143 eV per atom
- Density: 10.2 g cm⁻³
- Energy: -6.58 eV per atom

Cell lengths 5.905, 8.914, 7.813 Å; angles 124.78, 112.20, 90.00 degrees
Positions (direct):
Ac 0.821 0.571 0.643
Ac 0.179 0.429 0.357
Ga 0.500 0.000 0.500
Ga 0.000 0.000 0.500
B 0.500 0.500 0.000
B 0.500 0.000 0.000
Rh 0.484 0.734 0.969
Rh 0.927 0.177 0.855
Rh 0.869 0.107 0.248
Rh 0.379 0.641 0.248
Rh 0.379 0.107 0.248
Rh 0.869 0.641 0.248
Rh 0.516 0.266 0.031
Rh 0.073 0.823 0.145
Rh 0.131 0.893 0.752
Rh 0.621 0.359 0.752
Rh 0.621 0.893 0.752
Rh 0.131 0.359 0.752

***

Here is Nd3Tc after structural relaxation from the Alexandria database. Energies are from PBE.

## Properties
- Density of states at the Fermi level: 5.345 states/eV per cell
- Total moment: 0.00 μB per atom
- Formation energy: 0.142 eV per atom
- Density: 7.6 g cm⁻³
- Energy: -6.03 eV per atom

Cell lengths 3.718, 5.637, 6.470 Å; angles 115.82, 106.70, 90.00 degrees
Positions (direct):
Nd 0.302 0.705 0.605
Nd 0.500 0.404 0.000
Nd 0.698 0.100 0.395
Tc 0.000 0.958 0.000

***

Here is Al2V2P after structural relaxation from the Alexandria database. Energies are from PBE.

## Properties
- Density of states at the Fermi level: 7.945 states/eV per cell
- Total moment: 0.00 μB per atom
- Formation energy: -0.332 eV per atom
- Density: 4.2 g cm⁻³
- Energy: -6.56 eV per atom

Cell lengths 6.026, 6.026, 4.075 Å; angles 90.00, 90.00, 90.00 degrees
Positions (direct):
P 0.000 0.000 0.000
P 0.500 0.500 0.000
Al 0.154 0.654 0.500
Al 0.654 0.846 0.500
Al 0.846 0.346 0.500
Al 0.346 0.154 0.500
V 0.351 0.851 0.000
V 0.851 0.649 0.000
V 0.649 0.149 0.000
V 0.149 0.351 0.000

***

Here is LiTb2PaTe5 after structural relaxation from the Alexandria database. Energies are from PBE.

## Properties
- ΔE_f (raw): -1044 meV/atom
- Density of states at the Fermi level: 12.167 states/eV per cell
- Total moment: 0.15 μB per atom
- Density: 7.5 g cm⁻³
- Energy: -5.09 eV per atom

Cell lengths 4.287, 9.467, 13.369 Å; angles 90.00, 90.00, 103.09 degrees
Last column: magnetic moment on the atom in μB.
Positions (direct):
Li 0.555 0.109 0.958  0.00
Li 0.445 0.891 0.458  0.00
Tb 0.870 0.740 0.798  0.03
Tb 0.107 0.213 0.687  0.02
Tb 0.130 0.260 0.298  0.03
Tb 0.893 0.787 0.187  0.02
Pa 0.799 0.599 0.510  1.14
Pa 0.201 0.401 0.010  1.14
Te 0.368 0.735 0.002  -0.01
Te 0.686 0.371 0.843  -0.02
Te 0.495 0.991 0.780  -0.01
Te 0.283 0.567 0.674  -0.02
Te 0.953 0.905 0.573  -0.02
Te 0.632 0.265 0.502  -0.01
Te 0.314 0.629 0.343  -0.02
Te 0.505 0.009 0.280  -0.01
Te 0.717 0.433 0.174  -0.02
Te 0.047 0.095 0.073  -0.02

***

Here is NdSn2Pt after structural relaxation from the Alexandria database. Energies are from PBE.

## Properties
- Density of states at the Fermi level: 5.592 states/eV per cell
- Total moment: 0.00 μB per atom
- Formation energy: -0.822 eV per atom
- Density: 9.7 g cm⁻³
- Energy: -5.53 eV per atom

Cell lengths 4.664, 9.525, 10.336 Å; angles 117.44, 103.04, 90.00 degrees
Positions (direct):
Nd 0.703 0.703 0.406
Nd 0.500 0.265 0.000
Nd 0.500 0.735 0.000
Nd 0.297 0.297 0.594
Sn 0.922 0.422 0.844
Sn 0.698 0.355 0.397
Sn 0.698 0.042 0.397
Sn 0.302 0.645 0.603
Sn 0.080 0.080 0.161
Sn 0.078 0.578 0.156
Sn 0.920 0.920 0.839
Sn 0.302 0.958 0.603
Pt 0.851 0.598 0.702
Pt 0.149 0.402 0.298
Pt 0.149 0.895 0.298
Pt 0.851 0.105 0.702